PBE-GGA AlAgGe, relaxed; E = -3.62 eV/atom; calculated formation energy = 0.11 eV/atom
1.0
5.978 0.000 0.000
0.000 5.694 0.000
0.000 0.000 6.528
Al Ge Ag
4 4 4
direct
0.500 0.500 0.500
0.000 0.000 0.000
0.000 0.500 0.000
0.500 0.000 0.500
0.881 0.250 0.356
0.619 0.750 0.856
0.119 0.750 0.644
0.381 0.250 0.144
0.669 0.250 0.818
0.331 0.750 0.182
0.169 0.250 0.682
0.831 0.750 0.318